Compound: HfB2Mo2
Source: Alexandria via LeMat-Bulk
Functional: PBE
Structure: relaxed

Calculated values
volume = 124 Å³/cell
distance to the lowest polymorph of the same formula = 0 meV per atom
space-group type = P4/mbm

The structure in POSCAR format:
```
HfB2Mo2
1.0
6.1883 0.0000 0.0000
0.0000 6.1883 0.0000
0.0000 0.0000 3.2357
Mo B Hf
4 4 2
direct
0.1710 0.6710 0.5000
0.6710 0.8290 0.5000
0.8290 0.3290 0.5000
0.3290 0.1710 0.5000
0.3938 0.8938 0.0000
0.8938 0.6062 0.0000
0.6062 0.1062 0.0000
0.1062 0.3938 0.0000
0.0000 0.0000 0.0000
0.5000 0.5000 0.0000
```


Compound: NpSiPt
Source: Alexandria via LeMat-Bulk
Functional: PBE
Structure: relaxed

Calculated values
volume = 113 Å³/cell
E_form (uncorrected) = -0.656 eV/atom
space-group type = Imm2

The structure in POSCAR format:
```
NpSiPt
1.0
3.9513 -0.0002 1.6414
2.0428 5.1289 0.6575
0.0088 0.2750 5.5530
Np Si Pt
2 2 2
direct
0.3690 0.1552 0.2595
0.2572 0.7668 0.8711
0.9732 0.7342 0.4726
0.9732 0.3683 0.8385
0.6455 0.1732 0.6888
0.6455 0.5845 0.2775
```


Compound: Pm5MgPb8
Source: Alexandria via LeMat-Bulk
Functional: PBE
Structure: relaxed

Calculated values
volume = 432 Å³/cell
total energy = -59.48 eV per cell
space-group type = I-4

The structure in POSCAR format:
```
Pm5MgPb8
1.0
8.2505 0.1634 -0.2809
-2.6379 7.8191 0.2809
-2.9747 -3.8729 6.6580
Pm Mg Pb
5 1 8
direct
0.9899 0.4035 0.1534
0.8466 0.8366 0.2502
0.7498 0.5965 0.5864
0.5000 0.0000 0.5000
0.4136 0.1634 0.0101
0.2500 0.5000 0.7500
0.1323 0.7771 0.0323
0.9677 0.1000 0.7448
0.8060 0.2254 0.3902
0.6098 0.4158 0.8352
0.4194 0.5842 0.1940
0.6448 0.9000 0.8677
0.2552 0.2229 0.3552
0.1648 0.7746 0.5806
```


Compound: RbYSN2
Source: Alexandria via LeMat-Bulk
Functional: PBE
Structure: relaxed

Calculated values
volume = 106 Å³/cell
distance to the lowest polymorph of the same formula = 1348 meV per atom
E_form (uncorrected) = 1.490 eV/atom
space-group type = P4/mmm

The structure in POSCAR format:
```
RbYSN2
1.0
-2.4245 -2.7474 2.2103
3.5256 -1.9318 1.4661
0.0767 3.6001 4.5590
Y S Rb N
1 1 1 2
direct
0.5000 0.5000 0.5000
0.0000 0.0000 0.5000
0.0000 0.0000 0.0000
0.0000 0.5000 0.0000
0.5000 0.0000 0.0000
```


Compound: NaEr2Tl9
Source: Alexandria via LeMat-Bulk
Functional: PBE
Structure: relaxed

Calculated values
volume = 329 Å³/cell
total energy = -33.37 eV per cell
space-group type = P4/mmm

The structure in POSCAR format:
```
NaEr2Tl9
1.0
4.7855 0.0000 0.0000
0.0000 4.7855 0.0000
0.0000 0.0000 14.3801
Na Er Tl
1 2 9
direct
0.0000 0.0000 0.0000
0.0000 0.0000 0.3405
0.0000 0.0000 0.6595
0.5000 0.5000 0.0000
0.5000 0.5000 0.3335
0.5000 0.5000 0.6665
0.5000 0.0000 0.1704
0.5000 0.0000 0.5000
0.5000 0.0000 0.8296
0.0000 0.5000 0.1704
0.0000 0.5000 0.5000
0.0000 0.5000 0.8296
```


Compound: Be2IrPb
Source: Alexandria via LeMat-Bulk
Functional: PBE
Structure: relaxed

Calculated values
volume = 67 Å³/cell
total energy = -20.16 eV per cell
space-group type = Cm

The structure in POSCAR format:
```
Be2IrPb
1.0
3.6645 -0.0069 -0.2236
1.8318 3.1739 -0.2236
0.3899 0.2247 5.7519
Pb Be Ir
1 2 1
direct
0.1278 0.1278 0.2700
0.1238 0.1238 0.7986
0.7903 0.7903 0.7873
0.4581 0.4581 0.6442
```